1.
This record from the Alexandria database describes crystalline Cs2PrGe2O6 at its relaxed geometry. The functional is PBE.

Unit cell a=6.3274 b=6.3274 c=18.8505 alpha=90.00 beta=90.00 gamma=120.00
Space group R-3m (No. 166, hexagonal axes)
Asymmetric unit:
Cs1 0.0000 0.0000 0.2204 x6
Pr1 0.0000 0.0000 0.0000 x3
Ge1 0.0000 0.0000 0.4280 x6
O1 0.0213 0.5106 0.2591 x18

The raw formation energy comes out at -1.978 eV/atom. As for the raw total energy: -6.1116 eV/atom.


2.
This record from the Alexandria database describes crystalline NiBP at its relaxed geometry. The functional is PBE.

Unit cell a=10.3560 b=3.0087 c=4.3312 alpha=90.00 beta=101.66 gamma=90.00
Space group C2/m (No. 12)
Asymmetric unit:
Ni1 0.0891 0.0000 0.2260 x4
B1 0.2151 0.5000 0.5340 x4
P1 0.0908 0.5000 0.8131 x4

As for the raw total energy: -5.9932 eV/atom. As for the energy of formation: -0.037 eV/atom.


3.
This record from the Alexandria database describes crystalline VFeBi2 at its relaxed geometry. The functional is PBE.

Unit cell a=7.6248 b=7.6248 c=6.4681 alpha=90.00 beta=90.00 gamma=90.00
Space group I-42d (No. 122)
Asymmetric unit:
V1 0.0000 0.0000 0.0000 x4
Fe1 0.0000 0.0000 0.5000 x4
Bi1 0.2329 0.2500 0.6250 x8

As for the raw total energy: -5.5869 eV/atom. As for the energy of formation: 0.749 eV/atom.


4.
This record from the Alexandria database describes crystalline CaY2Re at its relaxed geometry. The functional is PBE.

Unit cell a=3.3157 b=5.0019 c=6.4506 alpha=90.00 beta=103.11 gamma=90.00
Space group Pm (No. 6)
Asymmetric unit:
Ca1 0.0000 0.0000 0.0000 x1
Y1 0.3574 0.5000 0.6876 x1
Y2 0.7707 0.0000 0.4406 x1
Re1 0.5053 0.5000 0.2510 x1

As for the raw total energy: -6.3531 eV/atom. As for the energy of formation: 0.491 eV/atom.


Copy entry 4 word for word.
This record from the Alexandria database describes crystalline CaY2Re at its relaxed geometry. The functional is PBE.

Unit cell a=3.3157 b=5.0019 c=6.4506 alpha=90.00 beta=103.11 gamma=90.00
Space group Pm (No. 6)
Asymmetric unit:
Ca1 0.0000 0.0000 0.0000 x1
Y1 0.3574 0.5000 0.6876 x1
Y2 0.7707 0.0000 0.4406 x1
Re1 0.5053 0.5000 0.2510 x1

As for the raw total energy: -6.3531 eV/atom. As for the energy of formation: 0.491 eV/atom.